Rb2CoOsO6 | GGA+U | optimized geometry

Calculated values
Its density of states at the Fermi level is 0.627 states/eV/atom. As for the space-group type: P-3m1 (164). The calculation puts the total energy at -5.977 eV per atom.

abc: 4.909 6.209 6.209
angles: 120.00 90.00 90.00
Fractional positions:
Rb  0.289  0.333  0.667
Rb  0.711  0.667  0.333
O  0.751  0.138  0.276
O  0.249  0.862  0.138
O  0.751  0.138  0.862
O  0.249  0.276  0.138
O  0.751  0.724  0.862
O  0.249  0.862  0.724
Os  0.000  0.000  0.000
Co  0.500  0.000  0.000